Entry from Alexandria via LeMat-Bulk: an optimized crystal structure of La2PmSn3Pd4 (PBE).

Values from the calculation:
DOS(E_F) ... 7.3 states/eV per cell
SG ... No. 115
Energy of formation from the pure elements ... -8.3 eV per formula unit

abc: 4.652 4.652 11.219
angles: 90.00 90.00 90.00
Element x y z (fractional)
Pm1 0.500 0.500 0.500
Pd1 0.000 0.500 0.353
Sn1 0.000 0.000 0.500
La1 0.000 0.500 0.779
Pd2 0.500 0.500 0.000
Sn2 0.000 0.500 0.121
La2 0.500 0.000 0.221
Pd3 0.500 0.000 0.647
Sn3 0.500 0.000 0.879
Pd4 0.000 0.000 0.000

---

Entry from Alexandria via LeMat-Bulk: an optimized crystal structure of La2PmSn3Pd6 (PBE).

Values from the calculation:
DOS(E_F) ... 8.5 states/eV per cell
SG ... No. 123
Energy of formation from the pure elements ... -6.5 eV per formula unit

abc: 4.117 4.117 18.028
angles: 90.00 90.00 90.00
Element x y z (fractional)
Pd1 0.000 0.500 0.617
Sn1 0.000 0.000 0.291
Pd2 0.000 0.500 0.383
Pd3 0.500 0.000 0.383
Sn2 0.000 0.000 0.000
Sn3 0.000 0.000 0.709
Pd4 0.000 0.000 0.859
Pd5 0.000 0.000 0.141
Pd6 0.500 0.000 0.617
La1 0.500 0.500 0.182
Pm1 0.500 0.500 0.500
La2 0.500 0.500 0.818

---

Entry from Alexandria via LeMat-Bulk: an optimized crystal structure of LaPmTlPd (PBE).

Values from the calculation:
DOS(E_F) ... 4.2 states/eV per cell
SG ... No. 216
Energy of formation from the pure elements ... -1.9 eV per formula unit

abc: 5.377 5.377 5.377
angles: 60.00 60.00 60.00
Element x y z (fractional)
Pm1 0.250 0.250 0.250
Tl1 0.500 0.500 0.500
Pd1 0.000 0.000 0.000
La1 0.750 0.750 0.750